Here is a relaxed structure of Na3FeBPO7 from Alexandria via LeMat-Bulk. Energies are from PBE+U.

Geometry as POSCAR:
```
Na3FeBPO7
1.0
6.672 0.000 0.000
0.000 5.292 0.027
0.000 0.194 8.935
Fe O B P Na
2 14 2 2 6
direct
0.750 0.224 0.662 Fe
0.250 0.776 0.338 Fe
0.250 0.126 0.431 O
0.436 0.214 0.674 O
0.250 0.529 0.174 O
0.750 0.432 0.466 O
0.750 0.304 0.082 O
0.564 0.786 0.326 O
0.250 0.568 0.534 O
0.750 0.471 0.826 O
0.064 0.214 0.674 O
0.936 0.786 0.326 O
0.750 0.874 0.569 O
0.250 0.965 0.135 O
0.750 0.035 0.865 O
0.250 0.696 0.918 O
0.750 0.270 0.934 B
0.250 0.730 0.066 B
0.250 0.279 0.576 P
0.750 0.721 0.424 P
0.250 0.242 0.925 Na
0.498 0.752 0.749 Na
0.750 0.758 0.075 Na
0.998 0.248 0.251 Na
0.502 0.248 0.251 Na
0.002 0.752 0.749 Na
```

Space group: No. 11
Size of the total moment (Bohr magnetons per cell): 10.00
Crystal system: monoclinic
Electronic total energy (eV per cell): -167.12
Fermi-level density of states (states/eV/f.u.): 0.0